Material: BaMg3Cd
Method: DFT, PBE-GGA
State: optimized geometry

## Properties
* mass density: 3.36 g/cm3
* ΔE to the lowest computed polymorph: 130 meV per atom
* ΔH_f (0 K): 28 meV/atom

Cell: 5.424 5.424 5.424 Å, 90.00 90.00 90.00°
Space group Pm-3m (No. 221)
Inequivalent atoms, fractional coordinates:
Ba  0.000  0.000  0.000 x1
Mg  0.000  0.500  0.500 x3
Cd  0.500  0.500  0.500 x1